Computed, not measured: a relaxed structure of FeHgCl2 at the PBE-GGA level of DFT.

Formation energy from raw total energies, meV/atom: 398
E, eV/cell: -10.9
Space-group type: No. 216
ρ, g/cm3: 6.40

a = 4.9339 Å, b = 4.9339 Å, c = 4.9339 Å
α = 60.00°, β = 60.00°, γ = 60.00°
Site moments in Bohr magnetons follow the coordinates.
Sites, in units of the cell vectors:
Fe1 0.5000 0.5000 0.5000  3.38
Hg1 0.7500 0.7500 0.7500  0.07
Cl1 0.0000 0.0000 0.0000  0.12
Cl2 0.2500 0.2500 0.2500  0.09